--- w ---
! PBE-GGA Fe2MoHRu, relaxed; values from VASP
! ρ: 9.80 Mg/m³
! space group: P4/mmm, No. 123
&SYSTEM
  ibrav = 0, nat = 5, ntyp = 4
/
ATOMIC_SPECIES
Fe 55.84 Fe.upf
Ru 101.07 Ru.upf
Mo 95.94 Mo.upf
H 1.01 H.upf
CELL_PARAMETERS angstrom
-1.3265 3.3403 -0.8437
-3.3702 -1.0705 1.0607
0.7457 1.2007 3.5811
ATOMIC_POSITIONS crystal
Fe 0.0000 0.5000 0.0000
Ru 0.5000 0.5000 0.5000
Mo 0.0000 0.0000 0.5000
Fe 0.5000 0.0000 0.0000
H 0.0000 0.0000 0.0000

---

--- x ---
! PBE-GGA Fe2MoHRu, relaxed; values from VASP
! ρ: 9.82 Mg/m³
! space group: P4/mmm, No. 123
&SYSTEM
  ibrav = 0, nat = 5, ntyp = 4
/
ATOMIC_SPECIES
Fe 55.84 Fe.upf
H 1.01 H.upf
Mo 95.94 Mo.upf
Ru 101.07 Ru.upf
CELL_PARAMETERS angstrom
-2.7515 2.1499 1.3036
-2.5128 -2.4187 -1.3146
0.0886 -1.8695 3.2702
ATOMIC_POSITIONS crystal
Fe 0.0000 0.5000 0.0000
H 0.0000 0.0000 0.0000
Fe 0.5000 0.0000 0.0000
Mo 0.5000 0.5000 0.5000
Ru 0.0000 0.0000 0.5000

---

Stability summary: most stable x, least stable w.

---

--- w ---
! PBE-GGA TaFe2MoH, relaxed; values from VASP
! ρ: 11.34 Mg/m³
! space group: P4/mmm, No. 123
&SYSTEM
  ibrav = 0, nat = 5, ntyp = 4
/
ATOMIC_SPECIES
Fe 55.84 Fe.upf
Mo 95.94 Mo.upf
H 1.01 H.upf
Ta 180.95 Ta.upf
CELL_PARAMETERS angstrom
3.8044 0.0000 0.0000
0.0000 3.8044 0.0000
0.0000 0.0000 3.9417
ATOMIC_POSITIONS crystal
Fe 0.0000 0.5000 0.0000
Mo 0.0000 0.0000 0.5000
H 0.0000 0.0000 0.0000
Fe 0.5000 0.0000 0.0000
Ta 0.5000 0.5000 0.5000

---

--- x ---
! PBE-GGA TaFe2MoH, relaxed; values from VASP
! ρ: 11.34 Mg/m³
! space group: P4/mmm, No. 123
&SYSTEM
  ibrav = 0, nat = 5, ntyp = 4
/
ATOMIC_SPECIES
H 1.01 H.upf
Fe 55.84 Fe.upf
Ta 180.95 Ta.upf
Mo 95.94 Mo.upf
CELL_PARAMETERS angstrom
-3.2298 -1.9003 -0.5633
-0.1582 -0.8264 3.6949
-2.0718 3.3271 0.6554
ATOMIC_POSITIONS crystal
H 0.0000 0.0000 0.0000
Fe 0.5000 0.0000 0.0000
Ta 0.0000 0.0000 0.5000
Mo 0.5000 0.5000 0.5000
Fe 0.0000 0.5000 0.0000

---

Stability summary: most stable w, least stable x.

---

--- w ---
! PBE-GGA Fe2MoHW, relaxed; values from VASP
! ρ: 11.90 Mg/m³
! space group: P4/mmm, No. 123
&SYSTEM
  ibrav = 0, nat = 5, ntyp = 4
/
ATOMIC_SPECIES
H 1.01 H.upf
Fe 55.84 Fe.upf
W 183.84 W.upf
Mo 95.94 Mo.upf
CELL_PARAMETERS angstrom
3.7595 0.0000 0.0000
0.0000 3.7595 0.0000
0.0000 0.0000 3.8736
ATOMIC_POSITIONS crystal
H 0.0000 0.0000 0.0000
Fe 0.5000 0.0000 0.0000
W 0.5000 0.5000 0.5000
Fe 0.0000 0.5000 0.0000
Mo 0.0000 0.0000 0.5000

---

--- x ---
! PBE-GGA Fe2MoHW, relaxed; values from VASP
! ρ: 11.87 Mg/m³
! space group: P4/mmm, No. 123
&SYSTEM
  ibrav = 0, nat = 5, ntyp = 4
/
ATOMIC_SPECIES
Fe 55.84 Fe.upf
H 1.01 H.upf
Mo 95.94 Mo.upf
W 183.84 W.upf
CELL_PARAMETERS angstrom
-0.0728 -0.4272 3.7313
-3.6374 -0.9213 -0.1764
0.9687 -3.7461 -0.4100
ATOMIC_POSITIONS crystal
Fe 0.5000 0.0000 0.0000
H 0.0000 0.0000 0.0000
Mo 0.5000 0.5000 0.5000
W 0.0000 0.0000 0.5000
Fe 0.0000 0.5000 0.0000

---

Stability summary: most stable w, least stable x.

---

--- w ---
! PBE-GGA Zr2FeMoH, relaxed; values from VASP
! ρ: 7.07 Mg/m³
! space group: P4/mmm, No. 123
&SYSTEM
  ibrav = 0, nat = 5, ntyp = 4
/
ATOMIC_SPECIES
Fe 55.84 Fe.upf
H 1.01 H.upf
Zr 91.22 Zr.upf
Mo 95.94 Mo.upf
CELL_PARAMETERS angstrom
-3.6481 3.1022 -1.4107
-1.8860 -2.4734 -0.5618
-1.6553 0.1933 4.7059
ATOMIC_POSITIONS crystal
Fe 0.0000 0.0000 0.0000
H 0.0000 0.5000 0.0000
Zr 0.0000 0.0000 0.5000
Zr 0.5000 0.0000 0.0000
Mo 0.5000 0.5000 0.5000

---

--- x ---
! PBE-GGA Zr2FeMoH, relaxed; values from VASP
! ρ: 7.67 Mg/m³
! space group: P4/mmm, No. 123
&SYSTEM
  ibrav = 0, nat = 5, ntyp = 4
/
ATOMIC_SPECIES
Mo 95.94 Mo.upf
H 1.01 H.upf
Zr 91.22 Zr.upf
Fe 55.84 Fe.upf
CELL_PARAMETERS angstrom
-3.9030 -2.2231 -1.0969
2.4585 -3.7337 -1.1807
-0.2336 -1.1606 3.1837
ATOMIC_POSITIONS crystal
Mo 0.5000 0.5000 0.5000
H 0.0000 0.0000 0.0000
Zr 0.0000 0.5000 0.0000
Fe 0.0000 0.0000 0.5000
Zr 0.5000 0.0000 0.0000

---

Stability summary: most stable x, least stable w.

---

--- w ---
! PBE-GGA FeH2N, relaxed; values from VASP
! ρ: 4.67 Mg/m³
! space group: I4_1/amd, No. 141
&SYSTEM
  ibrav = 0, nat = 8, ntyp = 3
/
ATOMIC_SPECIES
H 1.01 H.upf
N 14.01 N.upf
Fe 55.84 Fe.upf
CELL_PARAMETERS angstrom
2.6752 0.0000 0.0000
0.0000 2.6752 0.0000
1.3376 1.3376 7.1351
ATOMIC_POSITIONS crystal
H 0.8750 0.1250 0.7500
H 0.8750 0.1250 0.2500
N 0.2500 0.7500 0.5000
N 0.5000 0.5000 0.0000
H 0.8750 0.6250 0.2500
Fe 0.0000 0.0000 0.0000
Fe 0.7500 0.2500 0.5000
H 0.3750 0.1250 0.7500

---

--- x ---
! PBE-GGA FeH2N, relaxed; values from VASP
! ρ: 5.11 Mg/m³
! space group: Fm-3m, No. 225
&SYSTEM
  ibrav = 0, nat = 4, ntyp = 3
/
ATOMIC_SPECIES
Fe 55.84 Fe.upf
H 1.01 H.upf
N 14.01 N.upf
CELL_PARAMETERS angstrom
0.0000 2.2694 2.2694
2.2694 0.0000 2.2694
2.2694 2.2694 0.0000
ATOMIC_POSITIONS crystal
Fe 0.5000 0.5000 0.5000
H 0.2500 0.2500 0.2500
H 0.7500 0.7500 0.7500
N 0.0000 0.0000 0.0000

---

Stability summary: most stable w, least stable x.

---

--- w ---
! PBE-GGA FeHN2, relaxed; values from VASP
! ρ: 5.40 Mg/m³
! space group: Fm-3m, No. 225
&SYSTEM
  ibrav = 0, nat = 4, ntyp = 3
/
ATOMIC_SPECIES
H 1.01 H.upf
Fe 55.84 Fe.upf
N 14.01 N.upf
CELL_PARAMETERS angstrom
2.5121 -1.6060 1.4822
-0.2904 -0.9819 3.1683
-0.2881 -3.2382 0.7196
ATOMIC_POSITIONS crystal
H 0.0000 0.0000 0.0000
Fe 0.5000 0.5000 0.5000
N 0.2500 0.2500 0.2500
N 0.7500 0.7500 0.7500

---

--- x ---
! PBE-GGA FeHN2, relaxed; values from VASP
! ρ: 4.46 Mg/m³
! space group: R-3m, No. 166
&SYSTEM
  ibrav = 0, nat = 4, ntyp = 3
/
ATOMIC_SPECIES
N 14.01 N.upf
H 1.01 H.upf
Fe 55.84 Fe.upf
CELL_PARAMETERS angstrom
1.1795 -0.2156 4.7207
2.7288 -2.1666 3.4034
3.5121 0.5396 3.3312
ATOMIC_POSITIONS crystal
N 0.9085 0.9085 0.9085
H 0.0000 0.0000 0.0000
Fe 0.5000 0.5000 0.5000
N 0.0915 0.0915 0.0915

---

Stability summary: most stable x, least stable w.

---

--- w ---
! PBE-GGA FeHN2, relaxed; values from VASP
! ρ: 4.64 Mg/m³
! space group: R-3m, No. 166
&SYSTEM
  ibrav = 0, nat = 4, ntyp = 3
/
ATOMIC_SPECIES
N 14.01 N.upf
Fe 55.84 Fe.upf
H 1.01 H.upf
CELL_PARAMETERS angstrom
1.5800 3.5204 3.2016
2.3122 1.1479 4.2983
3.8205 2.2578 2.3335
ATOMIC_POSITIONS crystal
N 0.8788 0.8788 0.8788
N 0.1212 0.1212 0.1212
Fe 0.0000 0.0000 0.0000
H 0.5000 0.5000 0.5000

---

--- x ---
! PBE-GGA FeHN2, relaxed; values from VASP
! ρ: 4.32 Mg/m³
! space group: I-42d, No. 122
&SYSTEM
  ibrav = 0, nat = 8, ntyp = 3
/
ATOMIC_SPECIES
N 14.01 N.upf
H 1.01 H.upf
Fe 55.84 Fe.upf
CELL_PARAMETERS angstrom
-1.5374 -3.4037 1.5793
3.4333 -0.5874 2.0762
-0.5324 0.0816 4.8634
ATOMIC_POSITIONS crystal
N 0.6216 0.1250 0.2500
H 0.5000 0.5000 0.0000
Fe 0.0000 0.0000 0.0000
N 0.8750 0.8716 0.7500
N 0.1284 0.6250 0.2500
H 0.2500 0.7500 0.5000
Fe 0.7500 0.2500 0.5000
N 0.3750 0.3784 0.7500

---

Stability summary: most stable x, least stable w.

---

--- w ---
! PBE-GGA FeHSe2N, relaxed; values from VASP
! ρ: 6.06 Mg/m³
! space group: P4/mmm, No. 123
&SYSTEM
  ibrav = 0, nat = 5, ntyp = 4
/
ATOMIC_SPECIES
H 1.01 H.upf
Se 78.96 Se.upf
Fe 55.84 Fe.upf
N 14.01 N.upf
CELL_PARAMETERS angstrom
4.8555 0.0000 0.0000
0.0000 4.8555 0.0000
0.0000 0.0000 2.6584
ATOMIC_POSITIONS crystal
H 0.0000 0.0000 0.0000
Se 0.5000 0.0000 0.0000
Se 0.0000 0.5000 0.0000
Fe 0.5000 0.5000 0.5000
N 0.0000 0.0000 0.5000

---

--- x ---
! PBE-GGA FeHSe2N, relaxed; values from VASP
! ρ: 4.75 Mg/m³
! space group: P4/mmm, No. 123
&SYSTEM
  ibrav = 0, nat = 5, ntyp = 4
/
ATOMIC_SPECIES
Se 78.96 Se.upf
N 14.01 N.upf
Fe 55.84 Fe.upf
H 1.01 H.upf
CELL_PARAMETERS angstrom
-2.3382 0.5130 4.2515
-4.2663 -0.6971 -2.2622
0.2545 -3.3069 0.5390
ATOMIC_POSITIONS crystal
Se 0.0000 0.5000 0.0000
N 0.0000 0.0000 0.5000
Fe 0.0000 0.0000 0.0000
Se 0.5000 0.0000 0.0000
H 0.5000 0.5000 0.5000

---

Stability summary: most stable x, least stable w.

---

--- w ---
! PBE-GGA FeHSeN2, relaxed; values from VASP
! ρ: 4.34 Mg/m³
! space group: P4/mmm, No. 123
&SYSTEM
  ibrav = 0, nat = 5, ntyp = 4
/
ATOMIC_SPECIES
N 14.01 N.upf
Fe 55.84 Fe.upf
Se 78.96 Se.upf
H 1.01 H.upf
CELL_PARAMETERS angstrom
-1.5302 0.1678 -3.0979
1.9646 -2.6211 -1.1124
-3.6370 -3.4102 1.6118
ATOMIC_POSITIONS crystal
N 0.0000 0.5000 0.0000
Fe 0.0000 0.0000 0.0000
Se 0.0000 0.0000 0.5000
H 0.5000 0.5000 0.5000
N 0.5000 0.0000 0.0000

---

--- x ---
! PBE-GGA FeHSeN2, relaxed; values from VASP
! ρ: 5.98 Mg/m³
! space group: P4/mmm, No. 123
&SYSTEM
  ibrav = 0, nat = 5, ntyp = 4
/
ATOMIC_SPECIES
N 14.01 N.upf
Se 78.96 Se.upf
Fe 55.84 Fe.upf
H 1.01 H.upf
CELL_PARAMETERS angstrom
3.7520 0.0000 0.0000
0.0000 3.7520 0.0000
0.0000 0.0000 3.2303
ATOMIC_POSITIONS crystal
N 0.5000 0.0000 0.0000
N 0.0000 0.5000 0.0000
Se 0.0000 0.0000 0.5000
Fe 0.5000 0.5000 0.5000
H 0.0000 0.0000 0.0000

---

Stability summary: most stable w, least stable x.

---

--- w ---
! PBE-GGA FeTeHN2, relaxed; values from VASP
! ρ: 5.27 Mg/m³
! space group: P4/mmm, No. 123
&SYSTEM
  ibrav = 0, nat = 5, ntyp = 4
/
ATOMIC_SPECIES
H 1.01 H.upf
Te 127.60 Te.upf
Fe 55.84 Fe.upf
N 14.01 N.upf
CELL_PARAMETERS angstrom
3.4932 0.0000 0.0000
0.0000 3.4932 0.0000
0.0000 0.0000 5.4888
ATOMIC_POSITIONS crystal
H 0.5000 0.5000 0.5000
Te 0.0000 0.0000 0.5000
Fe 0.0000 0.0000 0.0000
N 0.0000 0.5000 0.0000
N 0.5000 0.0000 0.0000

---

--- x ---
! PBE-GGA FeTeHN2, relaxed; values from VASP
! ρ: 6.40 Mg/m³
! space group: P4/mmm, No. 123
&SYSTEM
  ibrav = 0, nat = 5, ntyp = 4
/
ATOMIC_SPECIES
Fe 55.84 Fe.upf
Te 127.60 Te.upf
N 14.01 N.upf
H 1.01 H.upf
CELL_PARAMETERS angstrom
-3.6038 -1.3384 0.9093
1.3082 -3.7166 -0.2856
0.8512 0.0362 3.4270
ATOMIC_POSITIONS crystal
Fe 0.5000 0.5000 0.5000
Te 0.0000 0.0000 0.5000
N 0.5000 0.0000 0.0000
H 0.0000 0.0000 0.0000
N 0.0000 0.5000 0.0000

---

Stability summary: most stable w, least stable x.

---

--- w ---
! PBE-GGA FeTe2HN, relaxed; values from VASP
! ρ: 5.95 Mg/m³
! space group: P4/mmm, No. 123
&SYSTEM
  ibrav = 0, nat = 5, ntyp = 4
/
ATOMIC_SPECIES
N 14.01 N.upf
Fe 55.84 Fe.upf
H 1.01 H.upf
Te 127.60 Te.upf
CELL_PARAMETERS angstrom
-1.1258 -4.9362 1.2574
2.0727 0.7324 4.7309
-2.9848 0.9754 1.1567
ATOMIC_POSITIONS crystal
N 0.0000 0.0000 0.5000
Fe 0.0000 0.0000 0.0000
H 0.5000 0.5000 0.5000
Te 0.0000 0.5000 0.0000
Te 0.5000 0.0000 0.0000

---

--- x ---
! PBE-GGA FeTe2HN, relaxed; values from VASP
! ρ: 7.81 Mg/m³
! space group: P4/mmm, No. 123
&SYSTEM
  ibrav = 0, nat = 5, ntyp = 4
/
ATOMIC_SPECIES
Te 127.60 Te.upf
H 1.01 H.upf
Fe 55.84 Fe.upf
N 14.01 N.upf
CELL_PARAMETERS angstrom
-0.6103 4.7648 -1.1406
0.2092 -1.1231 -4.8033
-2.8209 -0.3700 -0.0363
ATOMIC_POSITIONS crystal
Te 0.0000 0.5000 0.0000
H 0.0000 0.0000 0.0000
Fe 0.5000 0.5000 0.5000
N 0.0000 0.0000 0.5000
Te 0.5000 0.0000 0.0000

---

Stability summary: most stable w, least stable x.

---

--- w ---
! PBE-GGA Nb2FeH2, relaxed; values from VASP
! ρ: 7.81 Mg/m³
! space group: P4/mbm, No. 127
&SYSTEM
  ibrav = 0, nat = 10, ntyp = 3
/
ATOMIC_SPECIES
Nb 92.91 Nb.upf
H 1.01 H.upf
Fe 55.84 Fe.upf
CELL_PARAMETERS angstrom
-2.2603 1.0057 5.4843
5.2218 -1.6931 2.4626
0.9297 2.7036 -0.1126
ATOMIC_POSITIONS crystal
Nb 0.1689 0.6689 0.5000
H 0.1337 0.3663 0.0000
H 0.3663 0.8663 0.0000
Fe 0.5000 0.5000 0.0000
H 0.6337 0.1337 0.0000
Nb 0.6689 0.8311 0.5000
Nb 0.3311 0.1689 0.5000
H 0.8663 0.6337 0.0000
Nb 0.8311 0.3311 0.5000
Fe 0.0000 0.0000 0.0000

---

--- x ---
! PBE-GGA Nb2FeH2, relaxed; values from VASP
! ρ: 7.59 Mg/m³
! space group: I4/mmm, No. 139
&SYSTEM
  ibrav = 0, nat = 5, ntyp = 3
/
ATOMIC_SPECIES
Fe 55.84 Fe.upf
H 1.01 H.upf
Nb 92.91 Nb.upf
CELL_PARAMETERS angstrom
3.0232 0.0000 0.0000
0.0000 3.0232 0.0000
1.5116 1.5116 5.8352
ATOMIC_POSITIONS crystal
Fe 0.0000 0.0000 0.0000
H 0.7500 0.2500 0.5000
Nb 0.6356 0.6356 0.7288
Nb 0.3644 0.3644 0.2712
H 0.2500 0.7500 0.5000

---

Stability summary: most stable x, least stable w.

---

--- w ---
! PBE-GGA Nb2FeH, relaxed; values from VASP
! ρ: 7.71 Mg/m³
! space group: Fm-3m, No. 225
&SYSTEM
  ibrav = 0, nat = 4, ntyp = 3
/
ATOMIC_SPECIES
Nb 92.91 Nb.upf
Fe 55.84 Fe.upf
H 1.01 H.upf
CELL_PARAMETERS angstrom
-0.4325 -0.8462 4.0878
-1.5002 2.9309 2.6023
-3.8304 -0.4299 1.6601
ATOMIC_POSITIONS crystal
Nb 0.2500 0.2500 0.2500
Nb 0.7500 0.7500 0.7500
Fe 0.5000 0.5000 0.5000
H 0.0000 0.0000 0.0000

---

--- x ---
! PBE-GGA Nb2FeH, relaxed; values from VASP
! ρ: 7.75 Mg/m³
! space group: I-42d, No. 122
&SYSTEM
  ibrav = 0, nat = 8, ntyp = 3
/
ATOMIC_SPECIES
Nb 92.91 Nb.upf
Fe 55.84 Fe.upf
H 1.01 H.upf
CELL_PARAMETERS angstrom
5.7944 0.0000 0.0000
0.0000 5.7944 0.0000
2.8972 2.8972 3.0985
ATOMIC_POSITIONS crystal
Nb 0.1834 0.6250 0.2500
Fe 0.7500 0.2500 0.5000
Nb 0.8750 0.8166 0.7500
H 0.2500 0.7500 0.5000
Nb 0.3750 0.4334 0.7500
Nb 0.5666 0.1250 0.2500
Fe 0.0000 0.0000 0.0000
H 0.5000 0.5000 0.0000

---

Stability summary: most stable x, least stable w.

---

--- w ---
! PBE-GGA NbFe2H, relaxed; values from VASP
! ρ: 7.39 Mg/m³
! space group: Fm-3m, No. 225
&SYSTEM
  ibrav = 0, nat = 4, ntyp = 3
/
ATOMIC_SPECIES
Nb 92.91 Nb.upf
Fe 55.84 Fe.upf
H 1.01 H.upf
CELL_PARAMETERS angstrom
-0.2561 1.9249 3.5286
-3.4380 1.8094 1.0620
-2.2474 -1.5313 2.9709
ATOMIC_POSITIONS crystal
Nb 0.5000 0.5000 0.5000
Fe 0.7500 0.7500 0.7500
H 0.0000 0.0000 0.0000
Fe 0.2500 0.2500 0.2500

---

--- x ---
! PBE-GGA NbFe2H, relaxed; values from VASP
! ρ: 7.50 Mg/m³
! space group: R-3m, No. 166
&SYSTEM
  ibrav = 0, nat = 4, ntyp = 3
/
ATOMIC_SPECIES
Fe 55.84 Fe.upf
H 1.01 H.upf
Nb 92.91 Nb.upf
CELL_PARAMETERS angstrom
2.7470 0.0000 0.0000
1.3735 2.3790 0.0000
1.3735 0.7930 6.9676
ATOMIC_POSITIONS crystal
Fe 0.1180 0.1180 0.6460
Fe 0.8820 0.8820 0.3540
H 0.5000 0.5000 0.5000
Nb 0.0000 0.0000 0.0000

---

Stability summary: most stable x, least stable w.